A relaxed structure of CoNi2Ru, computed with PBE.

abc: 3.567 3.567 7.229
angles: 90.00 90.00 90.00
Space group I-4m2 (No. 119)
Unique sites:
1 Co 0.000 0.000 0.000
2 Ni 0.000 0.000 0.500
3 Ni 0.000 0.500 0.750
4 Ru 0.000 0.500 0.250

Computed properties:
The crystal system is tetragonal. The calculation puts the offset from the most stable computed form at 0.0 kJ/mol of atoms. The value obtained for the calculated formation energy is 0.109 eV per atom. The density of states at the Fermi level is 1.280 states/eV/atom.


A relaxed structure of CoNi2Ru, computed with PBE.

abc: 5.776 5.776 5.776
angles: 90.00 90.00 90.00
Space group F-43m (No. 216)
Unique sites:
1 Co 0.000 0.000 0.000
2 Ni 0.000 0.000 0.500
3 Ni 0.250 0.250 0.250
4 Ru 0.250 0.250 0.750

Computed properties:
The crystal system is cubic. The calculation puts the offset from the most stable computed form at 11.2 kJ/mol of atoms. The value obtained for the calculated formation energy is 0.226 eV per atom. The density of states at the Fermi level is 1.541 states/eV/atom.


It is found that the uncorrected energy values, taken in the order of the records, are -6.88, -6.76 eV/atom.